[1]
Ni2PdPt7: relaxed, GGA-PBE.

Calculated formation energy (eV/atom): 0.477
Calculated total energy (eV/atom): -5.4271
Crystal system: orthorhombic

a = 7.2492 Å, b = 7.2492 Å, c = 4.0938 Å
α = 90.00°, β = 90.00°, γ = 121.28°
Last column: nearest neighbours and their distance in Å.
Atoms (fractional coordinates):
1 Ni 0.1947 0.8053 0.0000  5 Pt 2.40-2.46
2 Ni 0.8053 0.1947 0.0000  5 Pt 2.40-2.46
3 Pd 0.5000 0.5000 0.5000  10 Pt 2.61-2.83
4 Pt 0.0000 0.0000 0.0000  2 Ni 2.46, 4 Pt 2.64
5 Pt 0.1987 0.4248 0.0000  1 Ni 2.44, 4 Pt 2.64-2.72
6 Pt 0.2934 0.7066 0.5000  2 Ni 2.40, 1 Pd 2.61
7 Pt 0.4248 0.1987 0.0000  1 Ni 2.44, 4 Pt 2.64-2.72
8 Pt 0.5752 0.8013 0.0000  1 Ni 2.44, 4 Pt 2.64-2.72
9 Pt 0.7066 0.2934 0.5000  2 Ni 2.40, 1 Pd 2.61
10 Pt 0.8013 0.5752 0.0000  1 Ni 2.44, 4 Pt 2.64-2.72

***

[2]
Ni2PdPt8: relaxed, GGA-PBE.

Calculated formation energy (eV/atom): -0.053
Calculated total energy (eV/atom): -5.9697
Crystal system: monoclinic
Energy above the lowest structure with this stoichiometry (meV/atom): 0

a = 7.2961 Å, b = 7.2961 Å, c = 6.2048 Å
α = 105.21°, β = 105.21°, γ = 31.08°
Last column: nearest neighbours and their distance in Å.
Atoms (fractional coordinates):
1 Ni 0.2277 0.2277 0.1369  10 Pt 2.65-2.79, 2 Ni 2.77
2 Ni 0.7723 0.7723 0.8631  10 Pt 2.65-2.79, 2 Ni 2.77
3 Pd 0.5000 0.5000 0.5000  12 Pt 2.77-2.83
4 Pt 0.0483 0.0483 0.2263  1 Ni 2.73, 9 Pt 2.75-2.87, 2 Pd 2.79
5 Pt 0.1425 0.1425 0.6994  3 Ni 2.65-2.68, 7 Pt 2.72-2.87, 2 Pd 2.83
6 Pt 0.3166 0.3166 0.5848  8 Pt 2.71-2.80, 3 Ni 2.72-2.79, 1 Pd 2.77
7 Pt 0.4016 0.4016 0.0395  3 Ni 2.67-2.69, 8 Pt 2.72-2.94, 1 Pd 2.81
8 Pt 0.5984 0.5984 0.9605  3 Ni 2.67-2.69, 8 Pt 2.72-2.94, 1 Pd 2.81
9 Pt 0.6834 0.6834 0.4152  8 Pt 2.71-2.80, 3 Ni 2.72-2.79, 1 Pd 2.77
10 Pt 0.8575 0.8575 0.3006  3 Ni 2.65-2.68, 7 Pt 2.72-2.87, 2 Pd 2.83
11 Pt 0.9517 0.9517 0.7737  1 Ni 2.73, 9 Pt 2.75-2.87, 2 Pd 2.79

***

[3]
Ni10PdPt6: relaxed, GGA-PBE.

Calculated formation energy (eV/atom): 0.078
Calculated total energy (eV/atom): -5.7602
Crystal system: trigonal

a = 7.2586 Å, b = 7.2586 Å, c = 5.0565 Å
α = 90.00°, β = 90.00°, γ = 120.00°
Last column: nearest neighbours and their distance in Å.
Atoms (fractional coordinates):
1 Ni 0.0000 0.2939 0.3322  5 Pt 2.48-2.69, 4 Ni 2.71-2.73, 1 Pd 2.72
2 Ni 0.0000 0.7061 0.6678  5 Pt 2.48-2.69, 4 Ni 2.71-2.73, 1 Pd 2.72
3 Ni 0.2939 0.0000 0.3322  5 Pt 2.48-2.69, 4 Ni 2.71-2.73, 1 Pd 2.72
4 Ni 0.2939 0.2939 0.6678  5 Pt 2.48-2.69, 4 Ni 2.71-2.73, 1 Pd 2.72
5 Ni 0.3333 0.6667 0.0000  6 Pt 2.50, 2 Ni 2.53
6 Ni 0.3333 0.6667 0.5000  8 Ni 2.53-2.71, 6 Pt 2.80
7 Ni 0.6667 0.3333 0.0000  6 Pt 2.50, 2 Ni 2.53
8 Ni 0.6667 0.3333 0.5000  8 Ni 2.53-2.71, 6 Pt 2.80
9 Ni 0.7061 0.0000 0.6678  5 Pt 2.48-2.69, 4 Ni 2.71-2.73, 1 Pd 2.72
10 Ni 0.7061 0.7061 0.3322  5 Pt 2.48-2.69, 4 Ni 2.71-2.73, 1 Pd 2.72
11 Pd 0.0000 0.0000 0.0000  6 Ni 2.72, 6 Pt 2.82
12 Pt 0.0000 0.3649 0.8109  7 Ni 2.48-2.69, 1 Pt 2.74
13 Pt 0.0000 0.6351 0.1891  7 Ni 2.48-2.69, 1 Pt 2.74
14 Pt 0.3649 0.0000 0.8109  7 Ni 2.48-2.69, 1 Pt 2.74
15 Pt 0.3649 0.3649 0.1891  7 Ni 2.48-2.69, 1 Pt 2.74
16 Pt 0.6351 0.0000 0.1891  7 Ni 2.48-2.69, 1 Pt 2.74
17 Pt 0.6351 0.6351 0.8109  7 Ni 2.48-2.69, 1 Pt 2.74

***

[4]
Ni2PdPt: relaxed, GGA-PBE.

Calculated formation energy (eV/atom): 0.012
Calculated total energy (eV/atom): -5.6868
Crystal system: tetragonal

a = 3.1163 Å, b = 3.1163 Å, c = 5.5337 Å
α = 90.00°, β = 90.00°, γ = 90.00°
Last column: nearest neighbours and their distance in Å.
Atoms (fractional coordinates):
1 Ni 0.0000 0.0000 0.2457  4 Pt 2.59, 4 Pd 2.61, 2 Ni 2.72-2.81
2 Ni 0.0000 0.0000 0.7543  4 Pt 2.59, 4 Pd 2.61, 2 Ni 2.72-2.81
3 Pd 0.5000 0.5000 0.5000  8 Ni 2.61, 2 Pt 2.77
4 Pt 0.5000 0.5000 0.0000  8 Ni 2.59, 2 Pd 2.77

***

[5]
Ni2Pd8Pt: relaxed, GGA-PBE.

Calculated formation energy (eV/atom): 0.130
Calculated total energy (eV/atom): -5.2472
Crystal system: orthorhombic
Energy above the lowest structure with this stoichiometry (meV/atom): 0

a = 6.6003 Å, b = 6.6003 Å, c = 4.0400 Å
α = 90.00°, β = 90.00°, γ = 105.54°
Last column: nearest neighbours and their distance in Å.
Atoms (fractional coordinates):
1 Ni 0.1120 0.8880 0.0000  1 Ni 2.36, 4 Pd 2.46-2.59
2 Ni 0.8880 0.1120 0.0000  1 Ni 2.36, 4 Pd 2.46-2.59
3 Pd 0.1651 0.1651 0.5000  7 Pd 2.64-2.89, 1 Pt 2.67, 4 Ni 2.68
4 Pd 0.1889 0.4577 0.0000  1 Ni 2.59, 7 Pd 2.70-2.83, 2 Pt 2.84
5 Pd 0.2451 0.7549 0.5000  2 Ni 2.46, 1 Pt 2.68
6 Pd 0.4577 0.1889 0.0000  1 Ni 2.59, 7 Pd 2.70-2.83, 2 Pt 2.84
7 Pd 0.5423 0.8111 0.0000  1 Ni 2.59, 7 Pd 2.70-2.83, 2 Pt 2.84
8 Pd 0.7549 0.2451 0.5000  2 Ni 2.46, 1 Pt 2.68
9 Pd 0.8111 0.5423 0.0000  1 Ni 2.59, 7 Pd 2.70-2.83, 2 Pt 2.84
10 Pd 0.8349 0.8349 0.5000  7 Pd 2.64-2.89, 1 Pt 2.67, 4 Ni 2.68
11 Pt 0.5000 0.5000 0.5000  12 Pd 2.67-2.84

***

[6]
Ni9PdPt2: relaxed, GGA-PBE.

Calculated formation energy (eV/atom): -0.035
Calculated total energy (eV/atom): -5.8110
Crystal system: tetragonal

a = 3.6538 Å, b = 3.6538 Å, c = 10.9656 Å
α = 90.00°, β = 90.00°, γ = 90.00°
Last column: nearest neighbours and their distance in Å.
Atoms (fractional coordinates):
1 Ni 0.0000 0.0000 0.0000  4 Pd 2.58, 8 Ni 2.58
2 Ni 0.0000 0.0000 0.3331  8 Ni 2.58-2.59, 4 Pt 2.58
3 Ni 0.0000 0.0000 0.6669  8 Ni 2.58-2.59, 4 Pt 2.58
4 Ni 0.0000 0.5000 0.1668  2 Pt 2.58, 8 Ni 2.58, 2 Pd 2.58
5 Ni 0.0000 0.5000 0.5000  8 Ni 2.58-2.59, 4 Pt 2.59
6 Ni 0.0000 0.5000 0.8332  2 Pt 2.58, 8 Ni 2.58, 2 Pd 2.58
7 Ni 0.5000 0.0000 0.1668  2 Pt 2.58, 8 Ni 2.58, 2 Pd 2.58
8 Ni 0.5000 0.0000 0.5000  8 Ni 2.58-2.59, 4 Pt 2.59
9 Ni 0.5000 0.0000 0.8332  2 Pt 2.58, 8 Ni 2.58, 2 Pd 2.58
10 Pd 0.5000 0.5000 0.0000  12 Ni 2.58
11 Pt 0.5000 0.5000 0.3327  12 Ni 2.58-2.59
12 Pt 0.5000 0.5000 0.6673  12 Ni 2.58-2.59

***

[7]
NiPd7Pt2: relaxed, GGA-PBE.

Calculated formation energy (eV/atom): 0.305
Calculated total energy (eV/atom): -5.1161
Crystal system: orthorhombic

a = 8.9528 Å, b = 8.9528 Å, c = 2.6908 Å
α = 90.00°, β = 90.00°, γ = 126.57°
Last column: nearest neighbours and their distance in Å.
Atoms (fractional coordinates):
1 Ni 0.0000 0.0000 0.0000  8 Pd 2.59, 2 Ni 2.69
2 Pd 0.1238 0.3001 0.5000  2 Ni 2.59, 1 Pt 2.64, 6 Pd 2.69-2.82
3 Pd 0.1918 0.8082 0.0000  2 Pt 2.63, 6 Pd 2.69-2.73
4 Pd 0.3001 0.1238 0.5000  2 Ni 2.59, 1 Pt 2.64, 6 Pd 2.69-2.82
5 Pd 0.5000 0.5000 0.5000  2 Pt 2.67, 6 Pd 2.69-2.71
6 Pd 0.6999 0.8762 0.5000  2 Ni 2.59, 1 Pt 2.64, 6 Pd 2.69-2.82
7 Pd 0.8082 0.1918 0.0000  2 Pt 2.63, 6 Pd 2.69-2.73
8 Pd 0.8762 0.6999 0.5000  2 Ni 2.59, 1 Pt 2.64, 6 Pd 2.69-2.82
9 Pt 0.3330 0.6670 0.5000  5 Pd 2.63-2.67, 2 Pt 2.69
10 Pt 0.6670 0.3330 0.5000  5 Pd 2.63-2.67, 2 Pt 2.69

***

[8]
Ni5PdPt: relaxed, GGA-PBE.

Calculated formation energy (eV/atom): 0.157
Calculated total energy (eV/atom): -5.5769
Crystal system: orthorhombic

a = 6.2521 Å, b = 6.2521 Å, c = 6.2521 Å
α = 109.12°, β = 103.18°, γ = 116.39°
Last column: nearest neighbours and their distance in Å.
Atoms (fractional coordinates):
1 Ni 0.0000 0.2544 0.2544  6 Ni 2.41-2.69, 2 Pt 2.55, 2 Pd 2.66
2 Ni 0.0000 0.7456 0.7456  6 Ni 2.41-2.69, 2 Pt 2.55, 2 Pd 2.66
3 Ni 0.2136 0.9636 0.2500  8 Ni 2.47-2.69, 2 Pt 2.62, 1 Pd 2.66
4 Ni 0.2552 0.2347 0.0205  6 Ni 2.41-2.52, 1 Pd 2.50, 2 Pt 2.54
5 Ni 0.2858 0.7653 0.5205  6 Ni 2.41-2.52, 1 Pd 2.50, 2 Pt 2.54
6 Ni 0.5000 0.2544 0.7544  6 Ni 2.41-2.69, 2 Pt 2.55, 2 Pd 2.66
7 Ni 0.5000 0.7456 0.2456  6 Ni 2.41-2.69, 2 Pt 2.55, 2 Pd 2.66
8 Ni 0.7142 0.2347 0.4795  6 Ni 2.41-2.52, 1 Pd 2.50, 2 Pt 2.54
9 Ni 0.7448 0.7653 0.9795  6 Ni 2.41-2.52, 1 Pd 2.50, 2 Pt 2.54
10 Ni 0.7864 0.0364 0.7500  8 Ni 2.47-2.69, 2 Pt 2.62, 1 Pd 2.66
11 Pd 0.1900 0.4400 0.7500  9 Ni 2.50-2.79, 2 Pt 2.73
12 Pd 0.8100 0.5600 0.2500  9 Ni 2.50-2.79, 2 Pt 2.73
13 Pt 0.5000 0.0000 0.0000  10 Ni 2.54-2.62, 2 Pd 2.73
14 Pt 0.5000 0.5000 0.5000  10 Ni 2.54-2.62, 2 Pd 2.73